Below is a relaxed CuMo2Rh crystal, with properties calculated at the PBE level.

Lattice parameters (Å, degrees): 4.9071 4.9071 4.9071 136.30 134.00 65.31
Closest atoms and distances in Å follow each position.
Positions (direct):
Cu 0.0000 0.0000 0.0000  4 Rh 2.65, 8 Mo 2.75-2.83
Mo 0.2486 0.7486 0.5000  4 Mo 2.65, 4 Cu 2.75-2.83, 4 Rh 2.77-2.81
Mo 0.7514 0.2514 0.5000  4 Mo 2.65, 4 Cu 2.75-2.83, 4 Rh 2.77-2.81
Rh 0.5000 0.5000 0.0000  4 Cu 2.65, 8 Mo 2.77-2.81

Summary:
SG: Immm
Formation energy from the elements in meV per atom: 85
Size of the total moment in μB/f.u.: 0.0
Raw total energy in eV/f.u.: -32.77